Entry 1:
# Pr3Ho2PuS6 (PBE-GGA, optimized geometry)
# formation energy without anion corrections	-23.73	eV per formula unit
data_Pr3Ho2PuS6
_symmetry_space_group_name_H-M 'C 1 2/m 1'
_symmetry_Int_Tables_number 12
_cell_length_a 6.901
_cell_length_b 11.963
_cell_length_c 7.006
_cell_angle_alpha 90.00
_cell_angle_beta 109.20
_cell_angle_gamma 90.00
loop_
_symmetry_equiv_pos_as_xyz
'x,y,z'
'-x,-y,-z'
'-x,y,-z'
'x,-y,z'
'x+1/2,y+1/2,z'
'-x+1/2,-y+1/2,-z'
'-x+1/2,y+1/2,-z'
'x+1/2,-y+1/2,z'
loop_
_atom_site_label
_atom_site_type_symbol
_atom_site_fract_x
_atom_site_fract_y
_atom_site_fract_z
Pr1 Pr 0.000 0.000 0.000
Pr2 Pr 0.000 0.334 0.000
Ho1 Ho 0.000 0.167 0.500
Pu1 Pu 0.000 0.500 0.500
S1 S 0.240 0.000 0.731
S2 S 0.246 0.332 0.733


Entry 2:
# NaCuP2O (PBE-GGA, optimized geometry)
# formation energy without anion corrections	6.66	eV per formula unit
data_NaCuP2O
_symmetry_space_group_name_H-M 'P 4/m m m'
_symmetry_Int_Tables_number 123
_symmetry_space_group_name_Hall '-P 4 2'
_cell_length_a 4.865
_cell_length_b 4.865
_cell_length_c 3.880
_cell_angle_alpha 90.00
_cell_angle_beta 90.00
_cell_angle_gamma 90.00
loop_
_atom_site_label
_atom_site_type_symbol
_atom_site_fract_x
_atom_site_fract_y
_atom_site_fract_z
Na1 Na 0.000 0.000 0.000
Cu1 Cu 0.500 0.500 0.500
P1 P 0.000 0.500 0.000
O1 O 0.000 0.000 0.500


Entry 3:
# Ac2DyRe2N6 (PBE-GGA, optimized geometry)
# formation energy without anion corrections	-8.65	eV per formula unit
data_Ac2DyRe2N6
_symmetry_space_group_name_H-M 'R -3 m'
_symmetry_Int_Tables_number 166
_symmetry_space_group_name_Hall '-R 3 2"'
_cell_length_a 5.9117
_cell_length_b 5.9117
_cell_length_c 18.4519
_cell_angle_alpha 90.00
_cell_angle_beta 90.00
_cell_angle_gamma 120.00
loop_
_atom_site_label
_atom_site_type_symbol
_atom_site_fract_x
_atom_site_fract_y
_atom_site_fract_z
Ac1 Ac 0.0000 0.0000 0.2122
Dy1 Dy 0.0000 0.0000 0.0000
Re1 Re 0.0000 0.0000 0.4009
N1 N 0.0079 0.5040 0.7602


Entry 4:
# KSrLa (PBE-GGA, optimized geometry)
# calculated formation energy	0.226	eV/atom
data_KSrLa
_symmetry_space_group_name_H-M 'P 3 m 1'
_symmetry_Int_Tables_number 156
_cell_length_a 4.0225
_cell_length_b 4.0225
_cell_length_c 10.7714
_cell_angle_alpha 90.00
_cell_angle_beta 90.00
_cell_angle_gamma 120.00
loop_
_symmetry_equiv_pos_as_xyz
'x,y,z'
'-y,x-y,z'
'-x+y,-x,z'
'-y,-x,z'
'-x+y,y,z'
'x,x-y,z'
loop_
_atom_site_label
_atom_site_type_symbol
_atom_site_fract_x
_atom_site_fract_y
_atom_site_fract_z
K1 K 0.0000 0.0000 0.0000
Sr1 Sr 0.3333 0.6667 0.6350
La1 La 0.6667 0.3333 0.3428


Entry 5:
# Ba2TeC (PBE-GGA, optimized geometry)
# formation energy without anion corrections	-0.15	eV per formula unit
data_Ba2TeC
_symmetry_space_group_name_H-M 'I -4 2 d'
_symmetry_Int_Tables_number 122
_symmetry_space_group_name_Hall 'I -4 2bw'
_cell_length_a 8.205
_cell_length_b 8.205
_cell_length_c 8.925
_cell_angle_alpha 90.00
_cell_angle_beta 90.00
_cell_angle_gamma 90.00
loop_
_atom_site_label
_atom_site_type_symbol
_atom_site_fract_x
_atom_site_fract_y
_atom_site_fract_z
Ba1 Ba 0.186 0.250 0.125
Te1 Te 0.000 0.000 0.500
C1 C 0.000 0.000 0.000


Entry 6:
# ZnTc (PBE-GGA, optimized geometry)
# calculated formation energy	0.149	eV/atom
data_ZnTc
_symmetry_space_group_name_H-M 'C 1 2/m 1'
_symmetry_Int_Tables_number 12
_cell_length_a 4.242
_cell_length_b 3.112
_cell_length_c 4.401
_cell_angle_alpha 90.00
_cell_angle_beta 96.64
_cell_angle_gamma 90.00
loop_
_symmetry_equiv_pos_as_xyz
'x,y,z'
'-x,-y,-z'
'-x,y,-z'
'x,-y,z'
'x+1/2,y+1/2,z'
'-x+1/2,-y+1/2,-z'
'-x+1/2,y+1/2,-z'
'x+1/2,-y+1/2,z'
loop_
_atom_site_label
_atom_site_type_symbol
_atom_site_fract_x
_atom_site_fract_y
_atom_site_fract_z
Zn1 Zn 0.000 0.000 0.000
Tc1 Tc 0.000 0.500 0.500


Entry 7:
# MgAuBr (PBE-GGA, optimized geometry)
# formation energy without anion corrections	-1.21	eV per formula unit
data_MgAuBr
_symmetry_space_group_name_H-M 'F -4 3 m'
_symmetry_Int_Tables_number 216
_symmetry_space_group_name_Hall 'F -4 2 3'
_cell_length_a 6.696
_cell_length_b 6.696
_cell_length_c 6.696
_cell_angle_alpha 90.00
_cell_angle_beta 90.00
_cell_angle_gamma 90.00
loop_
_atom_site_label
_atom_site_type_symbol
_atom_site_fract_x
_atom_site_fract_y
_atom_site_fract_z
Mg1 Mg 0.000 0.000 0.000
Au1 Au 0.250 0.250 0.250
Br1 Br 0.250 0.250 0.750


Entry 8:
# TlInSn2Br8 (PBE-GGA, optimized geometry)
# formation energy without anion corrections	-9.19	eV per formula unit
data_TlInSn2Br8
_symmetry_space_group_name_H-M 'P -1'
_symmetry_Int_Tables_number 2
_cell_length_a 6.718
_cell_length_b 7.998
_cell_length_c 9.053
_cell_angle_alpha 77.66
_cell_angle_beta 72.65
_cell_angle_gamma 83.95
loop_
_symmetry_equiv_pos_as_xyz
'x,y,z'
'-x,-y,-z'
loop_
_atom_site_label
_atom_site_type_symbol
_atom_site_fract_x
_atom_site_fract_y
_atom_site_fract_z
Tl1 Tl 0.000 0.000 0.000
In1 In 0.000 0.000 0.500
Sn1 Sn 0.443 0.385 0.260
Br1 Br 0.187 0.183 0.625
Br2 Br 0.218 0.704 0.588
Br3 Br 0.240 0.613 0.018
Br4 Br 0.323 0.079 0.214


Entry 9:
# LaAlCu2W (PBE-GGA, optimized geometry)
# calculated formation energy	2.212	eV/atom
data_LaAlCu2W
_symmetry_space_group_name_H-M 'P 4/m m m'
_symmetry_Int_Tables_number 123
_symmetry_space_group_name_Hall '-P 4 2'
_cell_length_a 4.750
_cell_length_b 4.750
_cell_length_c 5.279
_cell_angle_alpha 90.00
_cell_angle_beta 90.00
_cell_angle_gamma 90.00
loop_
_atom_site_label
_atom_site_type_symbol
_atom_site_fract_x
_atom_site_fract_y
_atom_site_fract_z
La1 La 0.000 0.000 0.000
Al1 Al 0.000 0.000 0.500
Cu1 Cu 0.000 0.500 0.000
W1 W 0.500 0.500 0.500


Entry 10:
# LuGaPdRu (PBE-GGA, optimized geometry)
# calculated formation energy	-0.641	eV/atom
data_LuGaPdRu
_symmetry_space_group_name_H-M 'F -4 3 m'
_symmetry_Int_Tables_number 216
_symmetry_space_group_name_Hall 'F -4 2 3'
_cell_length_a 6.421
_cell_length_b 6.421
_cell_length_c 6.421
_cell_angle_alpha 90.00
_cell_angle_beta 90.00
_cell_angle_gamma 90.00
loop_
_atom_site_label
_atom_site_type_symbol
_atom_site_fract_x
_atom_site_fract_y
_atom_site_fract_z
Lu1 Lu 0.000 0.000 0.000
Ga1 Ga 0.000 0.000 0.500
Pd1 Pd 0.250 0.250 0.750
Ru1 Ru 0.250 0.250 0.250


Entry 11:
# Pm6DyHo (PBE-GGA, optimized geometry)
# calculated formation energy	0.017	eV/atom
data_Pm6DyHo
_symmetry_space_group_name_H-M 'P 4/m m m'
_symmetry_Int_Tables_number 123
_symmetry_space_group_name_Hall '-P 4 2'
_cell_length_a 5.118
_cell_length_b 5.118
_cell_length_c 10.236
_cell_angle_alpha 90.00
_cell_angle_beta 90.00
_cell_angle_gamma 90.00
loop_
_atom_site_label
_atom_site_type_symbol
_atom_site_fract_x
_atom_site_fract_y
_atom_site_fract_z
Pm1 Pm 0.000 0.000 0.000
Pm2 Pm 0.000 0.000 0.500
Pm3 Pm 0.000 0.500 0.250
Dy1 Dy 0.500 0.500 0.000
Ho1 Ho 0.500 0.500 0.500


Entry 12:
# Mg2VCd (PBE-GGA, optimized geometry)
# calculated formation energy	0.489	eV/atom
data_Mg2VCd
_symmetry_space_group_name_H-M 'R -3 m'
_symmetry_Int_Tables_number 166
_symmetry_space_group_name_Hall '-R 3 2"'
_cell_length_a 2.9565
_cell_length_b 2.9565
_cell_length_c 31.8337
_cell_angle_alpha 90.00
_cell_angle_beta 90.00
_cell_angle_gamma 120.00
loop_
_atom_site_label
_atom_site_type_symbol
_atom_site_fract_x
_atom_site_fract_y
_atom_site_fract_z
Mg1 Mg 0.0000 0.0000 0.0860
V1 V 0.0000 0.0000 0.0000
Cd1 Cd 0.0000 0.0000 0.5000


Calculated total energy for every record listed, in sequence, given in eV/cell: -172.64; -14.53; -288.95; -7.03; -65.44; -22.68; -31.04; -35.69; -18.75; -98.33; -37.55; -33.80.